# 1
{
  "formula": "Cr2NiOs2",
  "functional": "PBE",
  "state": "optimized geometry",
  "lattice_angstrom": [[-0.129, -5.301, 4.677], [-4.305, -3.652, -4.257], [2.172, -1.133, -1.225]],
  "species": ["Ni", "Ni", "Os", "Os", "Os", "Os", "Cr", "Cr", "Cr", "Cr"],
  "fractional_positions": [[0.000, 0.000, 0.000], [0.500, 0.500, 0.000], [0.362, 0.862, 0.000], [0.862, 0.638, 0.000], [0.638, 0.138, 0.000], [0.138, 0.362, 0.000], [0.160, 0.660, 0.500], [0.660, 0.840, 0.500], [0.840, 0.340, 0.500], [0.340, 0.160, 0.500]],
  "crystal_system": "tetragonal",
  "de_polymorph_kj_per_mol_atoms": 0.00,
  "final_energy_ev_per_atom": -9.20,
  "spacegroup": "P4/mbm (127)"
}


# 2
{
  "formula": "CrNiOs",
  "functional": "PBE",
  "state": "optimized geometry",
  "lattice_angstrom": [[5.685, -0.021, 0.016], [5.077, 2.514, 0.463], [0.607, -0.306, 2.556]],
  "species": ["Cr", "Ni", "Os"],
  "fractional_positions": [[0.000, 0.000, 0.000], [0.338, 0.338, 0.662], [0.662, 0.662, 0.338]],
  "crystal_system": "tetragonal",
  "de_polymorph_kj_per_mol_atoms": 7.38,
  "final_energy_ev_per_atom": -8.73,
  "spacegroup": "I4mm (107)"
}


# 3
{
  "formula": "CrNi4Os",
  "functional": "PBE",
  "state": "optimized geometry",
  "lattice_angstrom": [[-2.420, 2.265, -1.517], [0.849, -3.744, -6.947], [-1.744, -6.764, -2.938]],
  "species": ["Cr", "Cr", "Ni", "Ni", "Ni", "Ni", "Ni", "Ni", "Ni", "Ni", "Os", "Os"],
  "fractional_positions": [[0.250, 0.250, 0.000], [0.750, 0.750, 0.000], [0.168, 0.666, 0.835], [0.332, 0.834, 0.165], [0.832, 0.334, 0.165], [0.668, 0.166, 0.835], [0.585, 0.581, 0.670], [0.915, 0.919, 0.330], [0.415, 0.419, 0.330], [0.085, 0.081, 0.670], [0.000, 0.500, 0.500], [0.500, 0.000, 0.500]],
  "crystal_system": "monoclinic",
  "de_polymorph_kj_per_mol_atoms": 0.00,
  "final_energy_ev_per_atom": -7.31,
  "spacegroup": "C2/m (12)"
}


# 4
{
  "formula": "Cr3NiOs",
  "functional": "PBE",
  "state": "optimized geometry",
  "lattice_angstrom": [[4.207, 0.000, 0.000], [0.000, 4.207, 0.000], [0.000, 0.000, 4.207]],
  "species": ["Ni", "Os", "Cr", "Cr", "Cr"],
  "fractional_positions": [[0.000, 0.000, 0.000], [0.500, 0.500, 0.500], [0.000, 0.500, 0.000], [0.000, 0.000, 0.500], [0.500, 0.000, 0.000]],
  "crystal_system": "cubic",
  "final_energy_ev_per_atom": -7.70,
  "spacegroup": "Pm-3m (221)"
}